PmHfAu2 | the Alexandria database | PBE | optimized geometry; calculated total energy = -5.898 eV/atom; formation enthalpy at 0 K = -56 kJ per mole of atoms
1.0
3.469 0.000 0.000
0.000 3.469 0.000
0.000 0.000 7.383
Pm Hf Au
1 1 2
direct
0.000 0.000 0.000 Pm
0.000 0.000 0.500 Hf
0.500 0.500 0.290 Au
0.500 0.500 0.710 Au

=====

PmHfRhAu | the Alexandria database | PBE | optimized geometry; calculated total energy = -6.877 eV/atom; formation enthalpy at 0 K = -52 kJ per mole of atoms
1.0
0.000 3.469 3.469
3.469 0.000 3.469
3.469 3.469 0.000
Pm Hf Rh Au
1 1 1 1
direct
0.000 0.000 0.000 Pm
0.500 0.500 0.500 Hf
0.750 0.750 0.750 Rh
0.250 0.250 0.250 Au

=====

Question: Which value of formation enthalpy at 0 K does entry 2 give?
Answer: -52 kJ per mole of atoms

=====

What did the second record say?
PmHfRhAu | the Alexandria database | PBE | optimized geometry; calculated total energy = -6.877 eV/atom; formation enthalpy at 0 K = -52 kJ per mole of atoms
1.0
0.000 3.469 3.469
3.469 0.000 3.469
3.469 3.469 0.000
Pm Hf Rh Au
1 1 1 1
direct
0.000 0.000 0.000 Pm
0.500 0.500 0.500 Hf
0.750 0.750 0.750 Rh
0.250 0.250 0.250 Au

=====

Question: Which of these has the lowest calculated total energy?
Answer: PmHfRhAu

=====

Question: Among the records above, which one has the lowest formation enthalpy at 0 K?
Answer: PmHfAu2